A plane-wave DFT calculation with PBE-GGA was carried out for TmNb6Ga8 after structural relaxation.

a = 6.8210 Å, b = 6.8210 Å, c = 6.8210 Å
α = 70.31°, β = 70.31°, γ = 70.31°
Fractional positions:
Tm1 0.0000 0.0000 0.0000
Nb1 0.6002 0.3662 0.8313
Nb2 0.3662 0.8313 0.6002
Nb3 0.8313 0.6002 0.3662
Nb4 0.3998 0.6338 0.1687
Nb5 0.6338 0.1687 0.3998
Nb6 0.1687 0.3998 0.6338
Ga1 0.7276 0.7276 0.7276
Ga2 0.2724 0.2724 0.2724
Ga3 0.5689 0.9455 0.1643
Ga4 0.9455 0.1643 0.5689
Ga5 0.1643 0.5689 0.9455
Ga6 0.4311 0.0545 0.8357
Ga7 0.0545 0.8357 0.4311
Ga8 0.8357 0.4311 0.0545

Symmetry ... R-3



A plane-wave DFT calculation with PBE-GGA was carried out for Tm2Nb3Ga4 after structural relaxation.

a = 7.0773 Å, b = 7.3072 Å, c = 7.1293 Å
α = 90.00°, β = 90.00°, γ = 109.56°
Fractional positions:
Tm1 0.5646 0.1907 0.3402
Tm2 0.9354 0.8093 0.8402
Tm3 0.4354 0.8093 0.6598
Tm4 0.0646 0.1907 0.1598
Nb1 0.0000 0.5000 0.5000
Nb2 0.5000 0.5000 0.0000
Nb3 0.7477 0.2603 0.8129
Nb4 0.7523 0.7397 0.3129
Nb5 0.2523 0.7397 0.1871
Nb6 0.2477 0.2603 0.6871
Ga1 0.8654 0.0785 0.5394
Ga2 0.6346 0.9215 0.0394
Ga3 0.1346 0.9215 0.4606
Ga4 0.3654 0.0785 0.9606
Ga5 0.8653 0.4844 0.1264
Ga6 0.6347 0.5156 0.6264
Ga7 0.1347 0.5156 0.8736
Ga8 0.3653 0.4844 0.3736

Symmetry ... P2_1/c



A plane-wave DFT calculation with PBE-GGA was carried out for TmNb4Ga4 after structural relaxation.

a = 5.2026 Å, b = 8.0198 Å, c = 8.0198 Å
α = 90.00°, β = 90.00°, γ = 90.00°
Fractional positions:
Tm1 0.0000 0.0000 0.0000
Tm2 0.5000 0.5000 0.5000
Nb1 0.3820 0.4436 0.8525
Nb2 0.8820 0.6475 0.9436
Nb3 0.3820 0.5564 0.1475
Nb4 0.1180 0.0564 0.6475
Nb5 0.6180 0.8525 0.5564
Nb6 0.1180 0.9436 0.3525
Nb7 0.8820 0.3525 0.0564
Nb8 0.6180 0.1475 0.4436
Ga1 0.5876 0.8738 0.2080
Ga2 0.5876 0.1262 0.7920
Ga3 0.0876 0.7080 0.6262
Ga4 0.9124 0.3738 0.7080
Ga5 0.9124 0.6262 0.2920
Ga6 0.4124 0.2080 0.1262
Ga7 0.4124 0.7920 0.8738
Ga8 0.0876 0.2920 0.3738

Symmetry ... P4_2/n



A plane-wave DFT calculation with PBE-GGA was carried out for TmNb2Ga8 after structural relaxation.

a = 5.2668 Å, b = 7.1547 Å, c = 6.9687 Å
α = 59.11°, β = 80.63°, γ = 71.51°
Fractional positions:
Tm1 0.5000 0.0000 0.0000
Nb1 0.0000 0.2884 0.4232
Nb2 0.0000 0.7116 0.5768
Ga1 0.8620 0.1079 0.2098
Ga2 0.8620 0.3178 0.7902
Ga3 0.2629 0.4215 0.0000
Ga4 0.5000 0.7412 0.5176
Ga5 0.5000 0.2588 0.4824
Ga6 0.7371 0.5785 0.0000
Ga7 0.1380 0.6822 0.2098
Ga8 0.1380 0.8921 0.7902

Symmetry ... C2/m



no.,formation energy (eV per atom)
1,-0.163
2,-0.454
3,-0.082
4,-0.093